Entry 1:
Be2VW2 at its PBEsol-relaxed geometry, computed with SCAN.

abc: 6.0612 6.0612 3.1851
angles: 90.00 90.00 90.00
Sites, in units of the cell vectors:
Be1 0.1179 0.3821 0.0000
Be2 0.3821 0.8821 0.0000
Be3 0.6179 0.1179 0.0000
Be4 0.8821 0.6179 0.0000
V1 0.0000 0.0000 0.0000
V2 0.5000 0.5000 0.0000
W1 0.1778 0.6778 0.5000
W2 0.3222 0.1778 0.5000
W3 0.6778 0.8222 0.5000
W4 0.8222 0.3222 0.5000

Calculated values
* M_tot: 0.00 μB/f.u.
* DFT formation energy: -94 kJ/mol of formula units

***

Entry 2:
SnMoPtO2 at its PBEsol-relaxed geometry, computed with SCAN.

abc: 3.7457 3.7457 6.0458
angles: 90.00 90.00 90.00
Sites, in units of the cell vectors:
Sn1 0.0000 0.0000 0.0000
Mo1 0.0000 0.0000 0.5000
Pt1 0.5000 0.5000 0.0000
O1 0.0000 0.5000 0.5000
O2 0.5000 0.0000 0.5000

Calculated values
* M_tot: 0.00 μB/f.u.
* formation energy without anion corrections: -0.85 eV per atom

***

Entry 3:
LiBeCr3 at its PBEsol-relaxed geometry, computed with SCAN.

abc: 3.9496 3.9496 3.9496
angles: 90.00 90.00 90.00
Sites, in units of the cell vectors:
Li1 0.0000 0.0000 0.0000
Be1 0.5000 0.5000 0.5000
Cr1 0.0000 0.5000 0.5000
Cr2 0.5000 0.0000 0.5000
Cr3 0.5000 0.5000 0.0000

Calculated values
* M_tot: 1.17 μB/f.u.
* DFT formation energy: 598 kJ/mol of formula units